DFT (GGA-PBE) results for a relaxed structure of Mg2AsBr.

abc: 7.1353 7.1353 7.1353
angles: 90.00 90.00 90.00
Space group F-43m (No. 216)
Unique sites:
Mg 0.0000 0.0000 0.0000 (multiplicity 4)
Mg 0.2500 0.2500 0.2500 (multiplicity 4)
As 0.2500 0.2500 0.7500 (multiplicity 4)
Br 0.0000 0.0000 0.5000 (multiplicity 4)

Calculated values
E_form (uncorrected) = 0.084 eV per atom
Total DFT energy (no corrections) = -36.7 eV/cell
Energy relative to the lowest polymorph listed for this composition = 0.9329 eV per atom
Fermi-level density of states = 2.72 states/eV/f.u.